(1)
Compound: Ce3Ru2Pb
Source: Alexandria
Functional: GGA-PBE
Structure: relaxed

Lattice parameters (Å, degrees): 20.4307 3.6273 8.6379 90.00 96.67 90.00
Space group C2/m (No. 12)
Symmetry-distinct sites (fractional):
Ce 0.0616 0.0000 0.2867 x4
Ce 0.0832 0.5000 0.9032 x4
Ce 0.2156 0.5000 0.2318 x4
Ru 0.0435 0.0000 0.6532 x4
Ru 0.2177 0.5000 0.8806 x4
Pb 0.1508 0.5000 0.5717 x4

## Properties
The calculation puts the raw total energy at -161.29 eV/cell. For the volume, the calculation gives 26.5 Å³/atom. For the density, the calculation gives 8.67 Mg/m³. For the total magnetization, the calculation gives 0.29 μB per atom. As for the formation energy: -1.00 kcal/mol of atoms.

=====

(2)
Compound: KScTe2
Source: Alexandria
Functional: GGA-PBE
Structure: relaxed

Lattice parameters (Å, degrees): 8.0516 8.0516 10.3973 90.00 90.00 90.00
Space group I-42d (No. 122)
Symmetry-distinct sites (fractional):
K 0.0000 0.0000 0.0000 x4
Sc 0.0000 0.0000 0.5000 x4
Te 0.1781 0.2500 0.6250 x8

## Properties
The calculation puts the raw total energy at -72.32 eV/cell. For the volume, the calculation gives 42.1 Å³/atom. For the density, the calculation gives 3.34 Mg/m³. For the total magnetization, the calculation gives 0.00 μB per atom. For the raw formation energy, the calculation gives -1092 meV per atom.

=====

(3)
Compound: AgSbOs2
Source: Alexandria
Functional: GGA-PBE
Structure: relaxed

Lattice parameters (Å, degrees): 4.0615 4.0615 8.0740 90.00 90.00 90.00
Space group I-4m2 (No. 119)
Symmetry-distinct sites (fractional):
Ag 0.0000 0.0000 0.0000 x2
Sb 0.0000 0.5000 0.2500 x2
Os 0.0000 0.0000 0.5000 x2
Os 0.0000 0.5000 0.7500 x2

## Properties
The calculation puts the raw total energy at -52.23 eV/cell. For the volume, the calculation gives 16.6 Å³/atom. For the density, the calculation gives 15.21 Mg/m³. For the total magnetization, the calculation gives 0.00 μB per atom. For the raw formation energy, the calculation gives 830 meV per atom.

=====

(4)
Compound: YHf2HPb
Source: Alexandria
Functional: GGA-PBE
Structure: relaxed

Lattice parameters (Å, degrees): 4.5103 4.5103 4.7887 90.00 90.00 90.00
Space group P4/mmm (No. 123)
Symmetry-distinct sites (fractional):
Y 0.0000 0.0000 0.0000 x1
Hf 0.0000 0.5000 0.5000 x2
H 0.0000 0.0000 0.5000 x1
Pb 0.5000 0.5000 0.0000 x1

## Properties
The calculation puts the raw total energy at -34.25 eV/cell. For the volume, the calculation gives 19.5 Å³/atom. For the density, the calculation gives 11.15 Mg/m³. For the total magnetization, the calculation gives 0.00 μB per atom.

=====

(5)
Compound: SrGa6Pt3
Source: Alexandria
Functional: GGA-PBE
Structure: relaxed

Lattice parameters (Å, degrees): 9.6308 4.2410 9.6872 90.00 97.58 90.00
Space group P2_1/m (No. 11)
Symmetry-distinct sites (fractional):
Sr 0.2162 0.2500 0.0812 x2
Ga 0.0808 0.2500 0.4534 x2
Ga 0.0876 0.7500 0.8227 x2
Ga 0.2539 0.2500 0.7205 x2
Ga 0.2941 0.7500 0.3349 x2
Ga 0.4366 0.7500 0.6315 x2
Ga 0.4788 0.7500 0.1155 x2
Pt 0.0195 0.7500 0.2973 x2
Pt 0.3465 0.2500 0.4837 x2
Pt 0.3554 0.7500 0.8645 x2

## Properties
The calculation puts the raw total energy at -88.81 eV/cell. For the volume, the calculation gives 19.6 Å³/atom. For the density, the calculation gives 9.24 Mg/m³. For the total magnetization, the calculation gives 0.00 μB per atom. As for the formation energy: -14.85 kcal/mol of atoms.

=====

(6)
Compound: Fe3BiMo
Source: Alexandria
Functional: GGA-PBE
Structure: relaxed

Lattice parameters (Å, degrees): 4.4831 4.4831 4.4831 90.00 90.00 90.00
Space group Pm-3m (No. 221)
Symmetry-distinct sites (fractional):
Fe 0.0000 0.0000 0.5000 x3
Bi 0.5000 0.5000 0.5000 x1
Mo 0.0000 0.0000 0.0000 x1

## Properties
The calculation puts the raw total energy at -32.92 eV/cell. For the volume, the calculation gives 18.0 Å³/atom. For the density, the calculation gives 8.71 Mg/m³. For the total magnetization, the calculation gives 0.00 μB per atom. As for the formation energy: 33.14 kcal/mol of atoms.

=====

(7)
Compound: YTl2Ni
Source: Alexandria
Functional: GGA-PBE
Structure: relaxed

Lattice parameters (Å, degrees): 3.7635 4.5759 5.6088 90.00 103.03 90.00
Space group P2/m (No. 10)
Symmetry-distinct sites (fractional):
Y 0.0000 0.0000 0.0000 x1
Tl 0.3419 0.5000 0.7212 x2
Ni 0.5000 0.0000 0.5000 x1

## Properties
The calculation puts the raw total energy at -17.03 eV/cell. For the volume, the calculation gives 23.5 Å³/atom. For the density, the calculation gives 9.82 Mg/m³. For the total magnetization, the calculation gives 0.00 μB per atom. As for the formation energy: -0.28 kcal/mol of atoms.

=====

(8)
Compound: KRb6
Source: Alexandria
Functional: GGA-PBE
Structure: relaxed

Lattice parameters (Å, degrees): 7.5512 7.5512 11.6525 90.00 90.00 90.00
Space group P4/mmm (No. 123)
Symmetry-distinct sites (fractional):
K 0.0000 0.0000 0.0000 x1
Rb 0.0000 0.0000 0.5000 x1
Rb 0.0000 0.5000 0.2631 x4
Rb 0.5000 0.5000 0.0000 x1

## Properties
The calculation puts the raw total energy at -6.55 eV/cell. For the volume, the calculation gives 94.9 Å³/atom. For the density, the calculation gives 1.38 Mg/m³. For the total magnetization, the calculation gives 0.00 μB per atom. As for the formation energy: 1.17 kcal/mol of atoms.

=====

(9)
Compound: TbHoTlPb
Source: Alexandria
Functional: GGA-PBE
Structure: relaxed

Lattice parameters (Å, degrees): 7.6456 7.6456 7.6456 90.00 90.00 90.00
Space group F-43m (No. 216)
Symmetry-distinct sites (fractional):
Tb 0.0000 0.0000 0.0000 x4
Ho 0.0000 0.0000 0.5000 x4
Tl 0.2500 0.2500 0.7500 x4
Pb 0.2500 0.2500 0.2500 x4

## Properties
The calculation puts the raw total energy at -66.79 eV/cell. For the volume, the calculation gives 27.9 Å³/atom. For the density, the calculation gives 10.93 Mg/m³. For the total magnetization, the calculation gives 0.00 μB per atom. As for the formation energy: -8.16 kcal/mol of atoms.

=====

(10)
Compound: Ga2Sn2Pt
Source: Alexandria
Functional: GGA-PBE
Structure: relaxed

Lattice parameters (Å, degrees): 3.5655 3.5655 17.3302 90.00 90.00 90.00
Space group I4/mmm (No. 139)
Symmetry-distinct sites (fractional):
Ga 0.0000 0.5000 0.2500 x4
Sn 0.0000 0.0000 0.0897 x4
Pt 0.0000 0.0000 0.5000 x2

## Properties
The calculation puts the raw total energy at -40.52 eV/cell. For the volume, the calculation gives 22.0 Å³/atom. For the density, the calculation gives 8.62 Mg/m³. For the total magnetization, the calculation gives 0.00 μB per atom. As for the formation energy: -0.73 kcal/mol of atoms.

=====

(11)
Compound: Zn2TcMo
Source: Alexandria
Functional: GGA-PBE
Structure: relaxed

Lattice parameters (Å, degrees): 2.6376 4.3732 5.2710 90.00 104.28 90.00
Space group P2/m (No. 10)
Symmetry-distinct sites (fractional):
Zn 0.0281 0.0000 0.2528 x2
Tc 0.5000 0.5000 0.5000 x1
Mo 0.5000 0.5000 0.0000 x1

## Properties
The calculation puts the raw total energy at -23.18 eV/cell. For the volume, the calculation gives 14.7 Å³/atom. For the density, the calculation gives 9.15 Mg/m³. For the total magnetization, the calculation gives 0.00 μB per atom. As for the formation energy: 3.23 kcal/mol of atoms.

=====

(12)
Compound: CuNiW
Source: Alexandria
Functional: GGA-PBE
Structure: relaxed

Lattice parameters (Å, degrees): 3.7190 3.7190 6.1767 90.00 90.00 90.00
Space group P4/nmm (No. 129, origin choice 2)
Symmetry-distinct sites (fractional):
Cu 0.2500 0.2500 0.1774 x2
Ni 0.2500 0.2500 0.7948 x2
W 0.2500 0.7500 0.5000 x2

## Properties
The calculation puts the raw total energy at -43.57 eV/cell. For the volume, the calculation gives 14.2 Å³/atom. For the density, the calculation gives 11.90 Mg/m³. For the total magnetization, the calculation gives 0.00 μB per atom. As for the formation energy: 8.04 kcal/mol of atoms.

=====

(13)
Compound: LaDy6Mg
Source: Alexandria
Functional: GGA-PBE
Structure: relaxed

Lattice parameters (Å, degrees): 6.9353 12.3452 6.8612 90.00 119.16 90.00
Space group C2/m (No. 12)
Symmetry-distinct sites (fractional):
La 0.0000 0.0000 0.0000 x2
Dy 0.0114 0.2252 0.7478 x8
Dy 0.0131 0.5000 0.2562 x4
Mg 0.0000 0.0000 0.5000 x2

## Properties
The calculation puts the raw total energy at -62.55 eV/cell. For the volume, the calculation gives 32.1 Å³/atom. For the density, the calculation gives 7.37 Mg/m³. For the total magnetization, the calculation gives 0.23 μB per atom. As for the formation energy: 8.24 kcal/mol of atoms.

=====

(14)
Compound: Sm3Zn7Ru2
Source: Alexandria
Functional: GGA-PBE
Structure: relaxed

Lattice parameters (Å, degrees): 4.2273 28.0087 4.0608 90.00 90.00 90.00
Space group Cmmm (No. 65)
Symmetry-distinct sites (fractional):
Sm 0.0000 0.0000 0.0000 x2
Sm 0.0000 0.1702 0.0000 x4
Zn 0.0000 0.0820 0.5000 x4
Zn 0.0000 0.2751 0.5000 x4
Zn 0.0000 0.4202 0.0000 x4
Zn 0.0000 0.5000 0.5000 x2
Ru 0.0000 0.3637 0.5000 x4

## Properties
The calculation puts the raw total energy at -87.18 eV/cell. For the volume, the calculation gives 20.0 Å³/atom. For the density, the calculation gives 7.67 Mg/m³. For the total magnetization, the calculation gives 0.00 μB per atom. As for the formation energy: -3.77 kcal/mol of atoms.

=====

(15)
Compound: LiTe2
Source: Alexandria
Functional: GGA-PBE
Structure: relaxed

Lattice parameters (Å, degrees): 6.9457 6.9457 6.9457 90.00 90.00 90.00
Space group Pa-3 (No. 205)
Symmetry-distinct sites (fractional):
Li 0.0000 0.0000 0.0000 x4
Te 0.1140 0.6140 0.8860 x8

## Properties
The calculation puts the raw total energy at -36.88 eV/cell. For the volume, the calculation gives 27.9 Å³/atom. For the density, the calculation gives 5.20 Mg/m³. For the total magnetization, the calculation gives 0.00 μB per atom. For the raw formation energy, the calculation gives -341 meV per atom.

=====

(16)
Compound: Pm2Ge3Ir2
Source: Alexandria
Functional: GGA-PBE
Structure: relaxed

Lattice parameters (Å, degrees): 4.2376 18.2184 7.1855 90.00 90.00 90.00
Space group Cmcm (No. 63)
Symmetry-distinct sites (fractional):
Pm 0.0000 0.0584 0.2500 x4
Pm 0.0000 0.1563 0.7500 x4
Ge 0.0000 0.2252 0.2500 x4
Ge 0.0000 0.4361 0.0657 x8
Ir 0.0000 0.3060 0.5518 x8

## Properties
The calculation puts the raw total energy at -184.74 eV/cell. For the volume, the calculation gives 19.8 Å³/atom. For the density, the calculation gives 10.68 Mg/m³. For the total magnetization, the calculation gives 0.00 μB per atom. As for the formation energy: -16.84 kcal/mol of atoms.

=====

(17)
Compound: Sc2Co3Ir
Source: Alexandria
Functional: GGA-PBE
Structure: relaxed

Lattice parameters (Å, degrees): 4.8726 4.8726 12.6492 90.00 90.00 120.00
Space group R-3m (No. 166, hexagonal axes)
Symmetry-distinct sites (fractional):
Sc 0.0000 0.0000 0.1222 x6
Co 0.0000 0.5000 0.0000 x9
Ir 0.0000 0.0000 0.5000 x3

## Properties
The calculation puts the raw total energy at -137.58 eV/cell. For the volume, the calculation gives 14.5 Å³/atom. For the density, the calculation gives 8.79 Mg/m³. For the total magnetization, the calculation gives 0.48 μB per atom. As for the formation energy: -11.60 kcal/mol of atoms.

=====

(18)
Compound: KRe2NiS8
Source: Alexandria
Functional: GGA-PBE
Structure: relaxed

Lattice parameters (Å, degrees): 5.9768 5.9768 28.2694 90.00 90.00 120.00
Space group R-3 (No. 148, hexagonal axes)
Symmetry-distinct sites (fractional):
K 0.0000 0.0000 0.0000 x3
Re 0.0000 0.0000 0.2427 x6
Ni 0.0000 0.0000 0.5000 x3
S 0.0000 0.0000 0.3192 x6
S 0.0007 0.3243 0.5482 x18

## Properties
The calculation puts the raw total energy at -207.19 eV/cell. For the volume, the calculation gives 24.3 Å³/atom. For the density, the calculation gives 4.14 Mg/m³. For the total magnetization, the calculation gives 0.00 μB per atom. For the raw formation energy, the calculation gives -356 meV per atom.

=====

(19)
Compound: Mg2CrNi
Source: Alexandria
Functional: GGA-PBE
Structure: relaxed

Lattice parameters (Å, degrees): 3.1968 3.1968 6.3139 90.00 90.00 90.00
Space group P4/mmm (No. 123)
Symmetry-distinct sites (fractional):
Mg 0.0000 0.0000 0.2259 x2
Cr 0.5000 0.5000 0.5000 x1
Ni 0.5000 0.5000 0.0000 x1

## Properties
The calculation puts the raw total energy at -17.77 eV/cell. For the volume, the calculation gives 16.1 Å³/atom. For the density, the calculation gives 4.10 Mg/m³. For the total magnetization, the calculation gives 0.95 μB per atom. As for the formation energy: 4.76 kcal/mol of atoms.

=====

(20)
Compound: LiTi2CdSb
Source: Alexandria
Functional: GGA-PBE
Structure: relaxed

Lattice parameters (Å, degrees): 5.0282 5.0282 4.5343 90.00 90.00 90.00
Space group P4/mmm (No. 123)
Symmetry-distinct sites (fractional):
Li 0.0000 0.0000 0.0000 x1
Ti 0.0000 0.5000 0.5000 x2
Cd 0.0000 0.0000 0.5000 x1
Sb 0.5000 0.5000 0.0000 x1

## Properties
The calculation puts the raw total energy at -19.59 eV/cell. For the volume, the calculation gives 22.9 Å³/atom. For the density, the calculation gives 4.88 Mg/m³. For the total magnetization, the calculation gives 0.00 μB per atom. For the raw formation energy, the calculation gives 631 meV per atom.